An optimized crystal structure of ThAlGaCu6, computed with PBE.

a = 6.9011 Å, b = 5.5640 Å, c = 8.6653 Å
α = 108.73°, β = 113.47°, γ = 90.00°
Last column: nearest neighbours and their distance in Å.
Sites, in units of the cell vectors:
Ga (0.5000, 0.5000, 0.0000)  6 Cu 2.43-2.67
Ga (0.5000, 0.0000, 0.0000)  6 Cu 2.43-2.67
Th (0.7201, 0.4701, 0.4402)  10 Cu 3.05-3.20, 4 Al 3.30
Th (0.2799, 0.5299, 0.5598)  10 Cu 3.05-3.20, 4 Al 3.30
Cu (0.2975, 0.6072, 0.2147)  4 Cu 2.46-2.62, 1 Al 2.57, 1 Ga 2.67
Cu (0.6339, 0.8839, 0.2678)  2 Ga 2.43, 2 Al 2.44, 4 Cu 2.58
Cu (0.9172, 0.6072, 0.2147)  4 Cu 2.46-2.62, 1 Al 2.57, 1 Ga 2.67
Cu (0.2975, 0.1074, 0.2147)  4 Cu 2.46-2.62, 1 Al 2.57, 1 Ga 2.67
Cu (0.9968, 0.7468, 0.9937)  8 Cu 2.46-2.52
Cu (0.0828, 0.3928, 0.7853)  4 Cu 2.46-2.62, 1 Al 2.57, 1 Ga 2.67
Cu (0.0032, 0.2532, 0.0063)  8 Cu 2.46-2.52
Cu (0.7025, 0.8926, 0.7853)  4 Cu 2.46-2.62, 1 Al 2.57, 1 Ga 2.67
Cu (0.7025, 0.3928, 0.7853)  4 Cu 2.46-2.62, 1 Al 2.57, 1 Ga 2.67
Cu (0.9172, 0.1074, 0.2147)  4 Cu 2.46-2.62, 1 Al 2.57, 1 Ga 2.67
Cu (0.0828, 0.8926, 0.7853)  4 Cu 2.46-2.62, 1 Al 2.57, 1 Ga 2.67
Cu (0.3661, 0.1161, 0.7322)  2 Ga 2.43, 2 Al 2.44, 4 Cu 2.58
Al (0.0000, 0.0000, 0.5000)  6 Cu 2.44-2.57
Al (0.5000, 0.0000, 0.5000)  6 Cu 2.44-2.57

## Properties
Final energy, eV/atom: -4.41
Symmetry: Imma
Formation energy from the elements, eV/atom: -0.10
Total magnetization, μB per atom: 0.0000

An optimized crystal structure of Ta2SbTeH, computed with PBE.

a = 5.2961 Å, b = 3.5382 Å, c = 5.2961 Å
α = 90.00°, β = 90.00°, γ = 90.00°
Last column: nearest neighbours and their distance in Å.
Sites, in units of the cell vectors:
Ta (0.0000, 0.0000, 0.5000)  2 Sb 2.65
Ta (0.5000, 0.0000, 0.0000)  2 Sb 2.65
H (0.0000, 0.5000, 0.0000)  2 Sb 1.77
Sb (0.0000, 0.0000, 0.0000)  2 H 1.77
Te (0.5000, 0.5000, 0.5000)  8 Ta 3.18, 2 Te 3.54

## Properties
E above lowest polymorph, meV/atom: 0
Final energy, eV/atom: -5.89
Symmetry: P4/mmm
Total magnetization, μB per atom: 0.0000

An optimized crystal structure of La2SiRu, computed with PBE.

a = 5.1773 Å, b = 5.1773 Å, c = 3.5777 Å
α = 90.00°, β = 90.00°, γ = 100.92°
Last column: nearest neighbours and their distance in Å.
Sites, in units of the cell vectors:
Si (0.0000, 0.5000, 0.5000)  8 La 3.15, 2 Ru 3.30
La (0.0000, 0.0000, 0.0000)  4 Ru 3.15, 4 Si 3.15, 2 La 3.30
La (0.5000, 0.5000, 0.0000)  4 Si 3.15, 4 Ru 3.15, 2 La 3.30
Ru (0.5000, 0.0000, 0.5000)  8 La 3.15, 2 Si 3.30

## Properties
Final energy, eV/atom: -6.39
Symmetry: Cmmm
Total magnetization, μB per atom: 0.0000
Formation energy (no corrections), eV/atom: -0.26

An optimized crystal structure of Sr2InIO6, computed with PBE.

a = 5.9667 Å, b = 5.9666 Å, c = 5.8883 Å
α = 59.56°, β = 59.56°, γ = 60.00°
Last column: nearest neighbours and their distance in Å.
Sites, in units of the cell vectors:
O (0.6397, 0.0751, 0.8033)  1 I 2.10, 1 In 2.19
O (0.5581, 0.1506, 0.2988)  1 I 2.10, 1 In 2.19
O (0.0752, 0.4816, 0.8033)  1 I 2.10, 1 In 2.19
O (0.9926, 0.5581, 0.2988)  1 I 2.10, 1 In 2.19
O (0.1505, 0.9925, 0.2993)  1 I 2.10, 1 In 2.19
O (0.4818, 0.6398, 0.8031)  1 I 2.10, 1 In 2.19
Sr (0.0675, 0.0675, 0.7972)  3 O 2.51
Sr (0.5640, 0.5640, 0.3080)  3 O 2.51
I (0.3161, 0.3161, 0.0516)  6 O 2.10
In (0.8161, 0.8161, 0.5517)  6 O 2.19

## Properties
Final energy, eV/atom: -5.42
Symmetry: R-3
Total magnetization, μB per atom: 0.0000
Formation energy (no corrections), eV/atom: -1.68

An optimized crystal structure of Tc2Sn8Sb, computed with PBE.

a = 5.3965 Å, b = 8.2593 Å, c = 8.2593 Å
α = 63.44°, β = 65.67°, γ = 65.67°
Last column: nearest neighbours and their distance in Å.
Sites, in units of the cell vectors:
Sn (0.3725, 0.4038, 0.4038)  1 Tc 2.80, 1 Sn 3.06
Sn (0.0912, 0.4316, 0.8255)  2 Tc 2.86-2.92, 2 Sn 3.20
Sn (0.5818, 0.8219, 0.8219)  2 Tc 2.71-2.74, 1 Sb 2.92
Sn (0.4182, 0.1781, 0.1781)  2 Tc 2.71-2.74, 1 Sb 2.92
Sn (0.0912, 0.8255, 0.4316)  2 Tc 2.86-2.92, 2 Sn 3.20
Sn (0.6275, 0.5962, 0.5962)  1 Tc 2.80, 1 Sn 3.06
Sn (0.9088, 0.5684, 0.1745)  2 Tc 2.86-2.92, 2 Sn 3.20
Sn (0.9088, 0.1745, 0.5684)  2 Tc 2.86-2.92, 2 Sn 3.20
Sb (0.0000, 0.0000, 0.0000)  2 Tc 2.67, 2 Sn 2.92
Tc (0.1156, 0.7927, 0.7927)  1 Sb 2.67, 7 Sn 2.71-2.92
Tc (0.8844, 0.2073, 0.2073)  1 Sb 2.67, 7 Sn 2.71-2.92

## Properties
Final energy, eV/atom: -4.97
Symmetry: C2/m
Total magnetization, μB per atom: 0.0000
Formation energy (no corrections), eV/atom: 0.20

An optimized crystal structure of SbPSe, computed with PBE.

a = 3.9829 Å, b = 3.9829 Å, c = 4.9508 Å
α = 90.00°, β = 90.00°, γ = 120.00°
Last column: nearest neighbours and their distance in Å.
Sites, in units of the cell vectors:
Sb (0.6667, 0.3333, 0.3059)  3 P 2.71, 3 Se 2.95
Se (0.3333, 0.6667, 0.6783)  3 P 2.84, 3 Sb 2.95
P (0.0000, 0.0000, 0.0158)  3 Sb 2.71, 3 Se 2.84

## Properties
E above lowest polymorph, meV/atom: 145
Final energy, eV/atom: -4.21
Symmetry: P3m1
Total magnetization, μB per atom: 0.0000
Formation energy (no corrections), eV/atom: 0.13

Question: Look up the final energy of the second one.
Answer: -5.89 eV/atom

Question: What is the final energy in the fifth record?
Answer: -4.97 eV/atom

Question: final energy of number 4 (Sr2InIO6)?
Answer: -5.42 eV/atom